[1]
Compound: PrTcB
Source: OQMD via LeMat-Bulk
Functional: GGA-PBE
Structure: relaxed

Values from the calculation:
magnetization	0.1	μB/cell
E above lowest polymorph	0	meV per atom
energy	-6.761	eV/atom

The structure in POSCAR format:
```
PrTcB
1.0
6.0232 0.0000 0.0000
0.0000 6.0232 0.0000
0.0000 0.0000 6.0232
Pr Tc B
4 4 4
direct
0.0000 0.0000 0.0000
0.0000 0.5000 0.5000
0.5000 0.0000 0.5000
0.5000 0.5000 0.0000
0.0000 0.0000 0.5000
0.0000 0.5000 0.0000
0.5000 0.0000 0.0000
0.5000 0.5000 0.5000
0.2500 0.2500 0.7500
0.2500 0.7500 0.2500
0.7500 0.2500 0.2500
0.7500 0.7500 0.7500
```

[2]
Compound: Pr5Ir3
Source: OQMD via LeMat-Bulk
Functional: GGA-PBE
Structure: relaxed

Values from the calculation:
formation energy from the elements	-0.53	eV per atom
magnetization	0.0	μB/cell
E above lowest polymorph	54	meV per atom
energy	-6.836	eV/atom

The structure in POSCAR format:
```
Pr5Ir3
1.0
8.5455 0.0000 0.0000
-4.2728 7.4006 0.0000
0.0000 0.0000 6.6432
Pr Ir
10 6
direct
0.0000 0.2557 0.2500
0.0000 0.7443 0.7500
0.2557 0.0000 0.2500
0.2557 0.2557 0.7500
0.3333 0.6667 0.0000
0.3333 0.6667 0.5000
0.6667 0.3333 0.0000
0.6667 0.3333 0.5000
0.7443 0.0000 0.7500
0.7443 0.7443 0.2500
0.0000 0.3903 0.7500
0.0000 0.6097 0.2500
0.3903 0.0000 0.7500
0.3903 0.3903 0.2500
0.6097 0.0000 0.2500
0.6097 0.6097 0.7500
```

[3]
Compound: Y2Pd5Pt
Source: OQMD via LeMat-Bulk
Functional: GGA-PBE
Structure: relaxed

Values from the calculation:
formation energy from the elements	-0.89	eV per atom
magnetization	0.0	μB/cell
energy	-6.494	eV/atom

The structure in POSCAR format:
```
Y2Pd5Pt
1.0
5.8241 0.0000 0.0000
0.0000 11.6533 0.0000
0.0000 0.0000 4.1312
Y Pd Pt
4 10 2
direct
0.2492 0.1247 0.0000
0.2508 0.6247 0.0000
0.7492 0.3753 0.0000
0.7508 0.8753 0.0000
0.0000 0.0000 0.5000
0.0023 0.7497 0.5000
0.2477 0.3751 0.0000
0.2523 0.8751 0.0000
0.4977 0.2497 0.5000
0.5000 0.5000 0.5000
0.5023 0.7503 0.5000
0.7477 0.1249 0.0000
0.7523 0.6249 0.0000
0.9977 0.2503 0.5000
0.0000 0.5000 0.5000
0.5000 0.0000 0.5000
```

[4]
Compound: PrMgAl4
Source: OQMD via LeMat-Bulk
Functional: GGA-PBE
Structure: relaxed

Values from the calculation:
magnetization	0.0	μB/cell
energy	-3.846	eV/atom

The structure in POSCAR format:
```
PrMgAl4
1.0
4.6102 0.0000 0.0000
-2.3051 3.9925 0.0000
0.0000 0.0000 6.8158
Pr Mg Al
1 1 4
direct
0.0000 0.0000 0.0000
0.0000 0.0000 0.5000
0.3333 0.6667 0.2890
0.3333 0.6667 0.7110
0.6667 0.3333 0.2871
0.6667 0.3333 0.7129
```